The following is a DFT calculation (PBE) of a relaxed Hf2Tc crystal.

Cell lengths 5.4878, 5.4878, 5.4878 Å; angles 60.00, 60.00, 60.00 degrees
Closest atoms and distances in Å follow each position.
Sites, in units of the cell vectors:
Hf 0.6250 0.1250 0.6250  6 Hf 2.74
Tc 0.2500 0.2500 0.2500  12 Hf 3.22, 4 Tc 3.36
Tc 0.0000 0.0000 0.0000  12 Hf 3.22, 4 Tc 3.36
Hf 0.1250 0.6250 0.6250  6 Hf 2.74
Hf 0.6250 0.6250 0.6250  6 Hf 2.74
Hf 0.6250 0.6250 0.1250  6 Hf 2.74

symmetry: Fd-3m, No. 227
ΔE to the lowest computed polymorph: 1.048 eV per atom
crystal system: cubic
formation energy: 0.69 eV per atom


The following is a DFT calculation (PBE) of a relaxed Dy4Y2Sb2Os crystal.

Cell lengths 4.2181, 8.1996, 8.1996 Å; angles 120.13, 90.00, 90.00 degrees
Closest atoms and distances in Å follow each position.
Sites, in units of the cell vectors:
Sb 0.5000 0.6666 0.3333  5 Dy 3.20-3.29, 4 Y 3.28
Dy 0.0000 0.3952 0.3952  1 Os 3.23, 4 Sb 3.29, 4 Dy 3.52
Y 0.0000 0.0000 0.6043  1 Os 3.25, 4 Sb 3.28, 4 Dy 3.53
Dy 0.5000 0.2365 0.0002  2 Os 2.86, 1 Sb 3.20
Y 0.0000 0.6043 0.0000  1 Os 3.25, 4 Sb 3.28, 4 Dy 3.53
Dy 0.5000 0.0002 0.2365  2 Os 2.86, 1 Sb 3.20
Sb 0.5000 0.3333 0.6666  5 Dy 3.20-3.29, 4 Y 3.28
Dy 0.5000 0.7633 0.7633  2 Os 2.87, 2 Sb 3.20
Os 0.0000 0.0005 0.0005  6 Dy 2.86-2.87

symmetry: Amm2, No. 38
crystal system: orthorhombic
raw total energy: -56.86 eV/cell


The following is a DFT calculation (PBE) of a relaxed RbPrInTe3 crystal.

Cell lengths 8.3334, 8.3334, 12.1008 Å; angles 90.00, 90.00, 144.57 degrees
Closest atoms and distances in Å follow each position.
Sites, in units of the cell vectors:
Rb 0.2459 0.7541 0.7500  8 Te 3.81-4.24, 1 In 4.27
Te 0.6261 0.3739 0.9424  1 In 2.92
Te 0.3739 0.6261 0.0576  1 In 2.92
Te 0.3739 0.6261 0.4424  1 In 2.92
Rb 0.7541 0.2459 0.2500  8 Te 3.81-4.24, 1 In 4.27
In 0.4854 0.5146 0.2500  4 Te 2.91-2.92
Pr 0.0000 0.0000 0.0000  6 Te 3.25-3.31
Pr 0.0000 0.0000 0.5000  6 Te 3.25-3.31
Te 0.0746 0.9254 0.2500  2 In 2.91, 2 Pr 3.25
In 0.5146 0.4854 0.7500  4 Te 2.91-2.92
Te 0.9254 0.0746 0.7500  2 In 2.91, 2 Pr 3.25
Te 0.6261 0.3739 0.5576  1 In 2.92

symmetry: Cmcm, No. 63
crystal system: orthorhombic
raw total energy: -47.06 eV/cell


The following is a DFT calculation (PBE) of a relaxed PrAl5CuNi crystal.

Cell lengths 6.3280, 6.3280, 6.3280 Å; angles 143.10, 111.29, 80.63 degrees
Closest atoms and distances in Å follow each position.
Sites, in units of the cell vectors:
Al 0.1589 0.3428 0.8160  1 Cu 2.44, 2 Ni 2.52, 1 Al 2.63
Al 0.4605 0.6540 0.8065  1 Ni 2.42, 2 Cu 2.59
Pr 0.0003 0.0003 0.0000  2 Cu 3.17, 2 Ni 3.21, 8 Al 3.32-3.38
Ni 0.2605 0.7605 0.5000  7 Al 2.31-2.52
Cu 0.7459 0.2459 0.5000  7 Al 2.38-2.59
Al 0.8475 0.6540 0.1935  1 Ni 2.42, 2 Cu 2.59
Al 0.4995 0.9995 0.5000  1 Ni 2.31, 1 Cu 2.38
Al 0.5268 0.3428 0.1840  1 Cu 2.44, 2 Ni 2.52, 1 Al 2.63

symmetry: Imm2, No. 44
crystal system: orthorhombic
raw total energy: -36.64 eV/cell


The following is a DFT calculation (PBE) of a relaxed ZrCdAgPd crystal.

Cell lengths 4.7364, 4.7364, 4.7364 Å; angles 60.00, 60.00, 60.00 degrees
Closest atoms and distances in Å follow each position.
Sites, in units of the cell vectors:
Ag 0.2500 0.2500 0.2500  4 Cd 2.90, 4 Pd 2.90
Cd 0.5000 0.5000 0.5000  4 Zr 2.90, 4 Ag 2.90
Zr 0.7500 0.7500 0.7500  4 Pd 2.90, 4 Cd 2.90
Pd 0.0000 0.0000 0.0000  4 Zr 2.90, 4 Ag 2.90

symmetry: F-43m, No. 216
ΔE to the lowest computed polymorph: 0.100 eV per atom
crystal system: cubic
formation energy: -0.23 eV per atom


The following is a DFT calculation (PBE) of a relaxed LuGaCoAg crystal.

Cell lengths 4.6145, 4.6145, 4.6145 Å; angles 60.00, 60.00, 60.00 degrees
Closest atoms and distances in Å follow each position.
Sites, in units of the cell vectors:
Lu 0.2500 0.2500 0.2500  4 Ga 2.83, 4 Ag 2.83
Co 0.7500 0.7500 0.7500  4 Ga 2.83, 4 Ag 2.83
Ag 0.5000 0.5000 0.5000  4 Lu 2.83, 4 Co 2.83
Ga 0.0000 0.0000 0.0000  4 Lu 2.83, 4 Co 2.83

symmetry: F-43m, No. 216
ΔE to the lowest computed polymorph: 0.100 eV per atom
crystal system: cubic


The following is a DFT calculation (PBE) of a relaxed KNbCuTe2Se crystal.

Cell lengths 8.1974, 8.1974, 10.2916 Å; angles 90.00, 90.00, 152.36 degrees
Closest atoms and distances in Å follow each position.
Sites, in units of the cell vectors:
Te 0.3735 0.6265 0.4504  1 Cu 2.58, 2 Nb 2.85
Cu 0.4709 0.5291 0.2500  2 Se 2.43, 2 Te 2.58
Se 0.9385 0.0615 0.7500  2 Cu 2.43
Te 0.3735 0.6265 0.0496  1 Cu 2.58, 2 Nb 2.85
K 0.2602 0.7398 0.7500  2 Se 3.45, 6 Te 3.55-3.57
Cu 0.5291 0.4709 0.7500  2 Se 2.43, 2 Te 2.58
Nb 0.0000 0.0000 0.5000  2 Se 2.75, 4 Te 2.85
K 0.7398 0.2602 0.2500  2 Se 3.45, 6 Te 3.55-3.57
Te 0.6265 0.3735 0.5496  1 Cu 2.58, 2 Nb 2.85
Nb 0.0000 0.0000 0.0000  2 Se 2.75, 4 Te 2.85
Te 0.6265 0.3735 0.9504  1 Cu 2.58, 2 Nb 2.85
Se 0.0615 0.9385 0.2500  2 Cu 2.43

symmetry: Cmcm, No. 63
crystal system: orthorhombic
raw total energy: -55.84 eV/cell


The following is a DFT calculation (PBE) of a relaxed Fe3Ag crystal.

Cell lengths 3.7418, 3.7418, 3.7418 Å; angles 90.00, 90.00, 90.00 degrees
Closest atoms and distances in Å follow each position.
Sites, in units of the cell vectors:
Ag 0.0000 0.0000 0.0000  12 Fe 2.65
Fe 0.5000 0.0000 0.5000  8 Fe 2.65, 4 Ag 2.65
Fe 0.0000 0.5000 0.5000  8 Fe 2.65, 4 Ag 2.65
Fe 0.5000 0.5000 0.0000  8 Fe 2.65, 4 Ag 2.65

symmetry: Pm-3m, No. 221
crystal system: cubic
formation energy: 0.34 eV per atom


The following is a DFT calculation (PBE) of a relaxed Zn2GaCo crystal.

Cell lengths 4.2057, 4.2057, 4.2057 Å; angles 60.00, 60.00, 60.00 degrees
Closest atoms and distances in Å follow each position.
Sites, in units of the cell vectors:
Co 0.2500 0.2500 0.2500  4 Zn 2.58, 4 Ga 2.58
Ga 0.5000 0.5000 0.5000  4 Zn 2.58, 4 Co 2.58
Zn 0.0000 0.0000 0.0000  4 Co 2.58, 4 Zn 2.58
Zn 0.7500 0.7500 0.7500  4 Ga 2.58, 4 Zn 2.58

symmetry: F-43m, No. 216
crystal system: cubic
raw total energy: -12.61 eV/cell


The following is a DFT calculation (PBE) of a relaxed Ba3Cd2Bi2Sb2 crystal.

Cell lengths 9.3633, 9.3633, 7.9171 Å; angles 110.69, 110.69, 30.69 degrees
Closest atoms and distances in Å follow each position.
Sites, in units of the cell vectors:
Cd 0.6696 0.6696 0.4748  3 Sb 2.98-3.02, 1 Bi 3.07
Ba 0.0000 0.0000 0.5000  2 Sb 3.48, 4 Bi 3.48
Bi 0.5007 0.5007 0.8096  1 Bi 3.02, 1 Cd 3.07
Ba 0.8549 0.8549 0.9058  3 Sb 3.57-3.69, 4 Bi 3.70-3.89, 3 Cd 3.80
Sb 0.7931 0.7931 0.3016  3 Cd 2.98-3.02
Ba 0.1451 0.1451 0.0942  3 Sb 3.57-3.69, 4 Bi 3.70-3.89, 3 Cd 3.80
Bi 0.4993 0.4993 0.1904  1 Bi 3.02, 1 Cd 3.07
Cd 0.3304 0.3304 0.5252  3 Sb 2.98-3.02, 1 Bi 3.07
Sb 0.2069 0.2069 0.6984  3 Cd 2.98-3.02

symmetry: C2/m, No. 12
crystal system: monoclinic
raw total energy: -30.41 eV/cell


The following is a DFT calculation (PBE) of a relaxed ErNi3 crystal.

Cell lengths 3.8174, 3.8174, 3.8174 Å; angles 90.00, 90.00, 90.00 degrees
Closest atoms and distances in Å follow each position.
Sites, in units of the cell vectors:
Ni 0.5000 0.5000 0.0000  8 Ni 2.70, 4 Er 2.70
Ni 0.5000 0.0000 0.5000  8 Ni 2.70, 4 Er 2.70
Er 0.0000 0.0000 0.0000  12 Ni 2.70
Ni 0.0000 0.5000 0.5000  8 Ni 2.70, 4 Er 2.70

symmetry: Pm-3m, No. 221
crystal system: cubic
formation energy: -0.30 eV per atom


The following is a DFT calculation (PBE) of a relaxed TmCdIr crystal.

Cell lengths 4.5837, 4.5837, 4.5837 Å; angles 60.00, 60.00, 60.00 degrees
Closest atoms and distances in Å follow each position.
Sites, in units of the cell vectors:
Cd 0.0000 0.0000 0.0000  4 Ir 2.81, 4 Tm 2.81
Ir 0.2500 0.2500 0.2500  4 Cd 2.81
Tm 0.7500 0.7500 0.7500  4 Cd 2.81

symmetry: F-43m, No. 216
crystal system: cubic
formation energy: 0.05 eV per atom